Model P:
KNi3: relaxed, PBE-GGA.

Crystal system = orthorhombic
Symmetry = Cmmm (65)
V = 14.72 A^3/atom

```
4
Lattice="4.9528 -0.0120 0.0000 -1.8551 4.5923 0.0000 0.0000 0.0000 2.5915" Properties=species:S:1:pos:R:3 pbc="T T T"
Ni 2.4764 -0.0060 1.2958
K 0.0000 0.0000 0.0000
Ni -0.9275 2.2961 1.2958
Ni 1.5489 2.2901 0.0000
```



Model Q:
KNi3: relaxed, PBE-GGA.

Crystal system = trigonal
Symmetry = R-3m (166)
V = 14.83 A^3/atom

```
4
Lattice="-2.4112 0.5158 0.7285 -0.5074 -5.0893 -1.1007 2.5169 1.2682 4.4075" Properties=species:S:1:pos:R:3 pbc="T T T"
K 0.0000 0.0000 0.0000
Ni 1.0047 -1.9105 1.6534
Ni 0.0529 0.8920 2.5680
Ni -1.4593 -2.2867 -0.1861
```



Model R:
KNi3: relaxed, PBE-GGA.

Crystal system = orthorhombic
Symmetry = Immm (71)
V = 16.14 A^3/atom

```
4
Lattice="5.7028 -0.0331 0.0116 2.9124 4.9031 -0.0116 -3.4968 -3.8693 2.3073" Properties=species:S:1:pos:R:3 pbc="T T T"
Ni 4.3076 2.4350 0.0000
K 0.0000 0.0000 0.0000
Ni 2.2355 1.9457 1.1479
Ni 2.8829 -0.9451 1.1595
```



Model S:
KNi3: relaxed, PBE-GGA.

Crystal system = monoclinic
Symmetry = C2/m (12)
V = 17.85 A^3/atom

```
4
Lattice="-0.1232 -4.1549 -0.9819 2.1700 -3.6710 0.2385 -2.6858 -1.9225 5.8090" Properties=species:S:1:pos:R:3 pbc="T T T"
Ni -0.3195 -4.8742 2.5328
Ni -0.1433 -7.2602 3.1477
K 0.0000 0.0000 0.0000
Ni -0.4957 -2.4882 1.9179
```



The data favor model S; the next most stable structure lies 230 meV per atom above it.



Model P:
KNi4: relaxed, PBE-GGA.

Crystal system = cubic
Symmetry = Pm-3m (221)
V = 16.88 A^3/atom

```
5
Lattice="-2.6409 3.4506 -0.6001 -3.2656 -2.1543 1.9839 1.2659 1.6412 3.8659" Properties=species:S:1:pos:R:3 pbc="T T T"
K -2.3203 1.4687 2.6248
Ni -0.6875 2.5459 1.6329
Ni -0.9999 -0.2566 2.9249
Ni 0.0000 0.0000 0.0000
Ni -2.9533 0.6481 0.6919
```



Model Q:
KNi4: relaxed, PBE-GGA.

Crystal system = cubic
Symmetry = Im-3m (229)
V = 17.67 A^3/atom

```
5
Lattice="-2.8056 2.8056 2.8056 2.8056 -2.8056 2.8056 2.8056 2.8056 -2.8056" Properties=species:S:1:pos:R:3 pbc="T T T"
Ni -1.4028 1.4028 1.4028
K 0.0000 0.0000 0.0000
Ni 1.4028 1.4028 -1.4028
Ni 1.4028 1.4028 1.4028
Ni 1.4028 -1.4028 1.4028
```



The data favor model Q; the next most stable structure lies 300 meV per atom above it.



Model P:
K4Ni: relaxed, PBE-GGA.

Crystal system = cubic
Symmetry = Pm-3m (221)
V = 54.76 A^3/atom

```
5
Lattice="-6.4397 -0.7443 0.3780 0.8330 -5.9197 2.5357 0.0539 2.5632 5.9661" Properties=species:S:1:pos:R:3 pbc="T T T"
Ni -2.7764 -2.0504 4.4399
K -3.1929 0.9094 3.1720
K -2.8033 -3.3320 1.4568
K 0.0000 0.0000 0.0000
K 0.4435 -1.6783 4.2509
```



Model Q:
K4Ni: relaxed, PBE-GGA.

Crystal system = cubic
Symmetry = Im-3m (229)
V = 51.24 A^3/atom

```
5
Lattice="-4.0010 4.0010 4.0010 4.0010 -4.0010 4.0010 4.0010 4.0010 -4.0010" Properties=species:S:1:pos:R:3 pbc="T T T"
K -2.0005 2.0005 2.0005
Ni 0.0000 0.0000 0.0000
K 2.0005 2.0005 -2.0005
K 2.0005 2.0005 2.0005
K 2.0005 -2.0005 2.0005
```



The data favor model P; the next most stable structure lies 30 meV per atom above it.